# Ga2Tc2As, optimized geometry, DFT PBE-GGA
# Size of the total moment ... 0.00 μB/f.u.
# Fermi-level density of states ... 0.81 states/eV per atom
# DFT total energy ... -6.341 eV/atom
# DFT formation energy ... -0.054 eV per atom
data_Ga2Tc2As
_chemical_formula_sum 'Ga4 Tc4 As2'
_symmetry_space_group_name_H-M 'P 1'
_symmetry_Int_Tables_number 1
_cell_length_a 6.479
_cell_length_b 6.479
_cell_length_c 3.793
_cell_angle_alpha 90.00
_cell_angle_beta 90.00
_cell_angle_gamma 90.00
loop_
_symmetry_equiv_pos_as_xyz
'x,y,z'
loop_
_atom_site_label
_atom_site_fract_x
_atom_site_fract_y
_atom_site_fract_z
Ga1 0.147 0.353 0.000
Ga2 0.353 0.853 0.000
Ga3 0.647 0.147 0.000
Ga4 0.853 0.647 0.000
Tc1 0.157 0.657 0.500
Tc2 0.343 0.157 0.500
Tc3 0.657 0.843 0.500
Tc4 0.843 0.343 0.500
As1 0.000 0.000 0.500
As2 0.500 0.500 0.500